Entry 1:
Entry from the Alexandria database: Tl4Hg3Br12 after structural relaxation (GGA-PBE).

Values from the calculation:
Density of states at the Fermi level (states/eV per cell): 7.48
E (eV/atom): -2.101

Cell: 9.918 9.918 9.918 Å, 109.47 109.47 109.47°
Fractional coordinates of all 19 atoms:
Tl (0.000, 0.000, 0.500)
Tl (0.500, 0.500, 0.500)
Tl (0.500, 0.000, 0.000)
Tl (0.000, 0.500, 0.000)
Hg (0.500, 0.000, 0.500)
Hg (0.500, 0.500, 0.000)
Hg (0.000, 0.500, 0.500)
Br (0.670, 0.503, 0.833)
Br (0.330, 0.497, 0.167)
Br (0.330, 0.162, 0.833)
Br (0.503, 0.833, 0.670)
Br (0.833, 0.330, 0.162)
Br (0.167, 0.330, 0.497)
Br (0.162, 0.833, 0.330)
Br (0.167, 0.670, 0.838)
Br (0.670, 0.838, 0.167)
Br (0.497, 0.167, 0.330)
Br (0.833, 0.670, 0.503)
Br (0.838, 0.167, 0.670)

***

Entry 2:
Entry from the Alexandria database: Tl2Hg2Br7 after structural relaxation (GGA-PBE).

Values from the calculation:
Density of states at the Fermi level (states/eV per cell): 7.99
E (eV/atom): -2.046

Cell: 8.310 8.310 7.066 Å, 83.08 83.08 103.45°
Fractional coordinates of all 11 atoms:
Tl (0.304, 0.696, 0.500)
Tl (0.696, 0.304, 0.500)
Hg (0.241, 0.241, 0.098)
Hg (0.759, 0.759, 0.902)
Br (0.077, 0.426, 0.290)
Br (0.574, 0.923, 0.710)
Br (0.923, 0.574, 0.710)
Br (0.426, 0.077, 0.290)
Br (0.593, 0.593, 0.248)
Br (0.000, 0.000, 0.000)
Br (0.407, 0.407, 0.752)

***

Entry 3:
Entry from the Alexandria database: TlHgBr4 after structural relaxation (GGA-PBE).

Values from the calculation:
Density of states at the Fermi level (states/eV per cell): 7.19
E (eV/atom): -2.001

Cell: 7.137 6.613 10.523 Å, 105.90 107.56 96.83°
Fractional coordinates of all 12 atoms:
Tl (0.338, 0.588, 0.175)
Tl (0.662, 0.412, 0.825)
Hg (0.874, 0.124, 0.248)
Hg (0.126, 0.876, 0.752)
Br (0.329, 0.048, 0.621)
Br (0.983, 0.783, 0.089)
Br (0.209, 0.428, 0.379)
Br (0.394, 0.694, 0.911)
Br (0.671, 0.952, 0.379)
Br (0.791, 0.572, 0.621)
Br (0.017, 0.217, 0.911)
Br (0.606, 0.306, 0.089)

***

Entry 4:
Entry from the Alexandria database: Tl6Hg5Br after structural relaxation (GGA-PBE).

Values from the calculation:
Density of states at the Fermi level (states/eV per cell): 4.84
E (eV/atom): -1.549

Cell: 4.474 9.468 11.335 Å, 126.78 101.18 90.02°
Fractional coordinates of all 12 atoms:
Tl (0.833, 0.598, 0.672)
Tl (0.827, 0.094, 0.664)
Tl (0.506, 0.751, 0.010)
Tl (0.494, 0.249, 0.990)
Tl (0.173, 0.906, 0.336)
Tl (0.167, 0.402, 0.328)
Hg (0.686, 0.170, 0.361)
Hg (0.332, 0.346, 0.673)
Hg (0.000, 0.500, 0.000)
Hg (0.668, 0.654, 0.327)
Hg (0.314, 0.830, 0.639)
Br (0.000, 0.000, 0.000)

***

Entry 5:
Entry from the Alexandria database: TlHg2Br after structural relaxation (GGA-PBE).

Values from the calculation:
Density of states at the Fermi level (states/eV per cell): 0.19
E (eV/atom): -1.531

Cell: 4.367 4.799 7.071 Å, 68.95 90.00 90.00°
Fractional coordinates of all 4 atoms:
Tl (0.000, 0.272, 0.581)
Hg (0.000, 0.021, 0.090)
Hg (0.500, 0.480, 0.164)
Br (0.500, 0.727, 0.664)

***

Entry 6:
Entry from the Alexandria database: TlHg2Br after structural relaxation (GGA-PBE).

Values from the calculation:
E (eV/atom): -1.421

Cell: 6.352 6.352 6.352 Å, 48.93 48.93 48.93°
Fractional coordinates of all 4 atoms:
Tl (0.250, 0.250, 0.250)
Hg (0.993, 0.993, 0.993)
Hg (0.507, 0.507, 0.507)
Br (0.750, 0.750, 0.750)

***

Entry 7:
Entry from the Alexandria database: TlHgBr4 after structural relaxation (GGA-PBE).

Values from the calculation:
Density of states at the Fermi level (states/eV per cell): 8.30
E (eV/atom): -1.474

Cell: 6.503 6.503 6.503 Å, 60.00 60.00 60.00°
Each line ends with the local moment (μB).
Fractional coordinates of all 6 atoms:
Tl (0.000, 0.000, 0.000)  0.00
Hg (0.750, 0.750, 0.750)  0.02
Br (0.873, 0.376, 0.376)  0.22
Br (0.376, 0.376, 0.873)  0.22
Br (0.376, 0.873, 0.376)  0.22
Br (0.376, 0.376, 0.376)  0.22

***

Entry 8:
Entry from the Alexandria database: UTl2HgBr6 after structural relaxation (GGA-PBE).

Values from the calculation:
Density of states at the Fermi level (states/eV per cell): 5.41
E (eV/atom): -3.643

Cell: 8.960 8.960 8.960 Å, 54.55 54.55 54.55°
Each line ends with the local moment (μB).
Fractional coordinates of all 10 atoms:
U (0.015, 0.015, 0.015)  2.10
Tl (0.201, 0.201, 0.201)  0.00
Tl (0.672, 0.672, 0.672)  0.00
Hg (0.510, 0.510, 0.510)  0.00
Br (0.381, 0.045, 0.839)  -0.03
Br (0.045, 0.839, 0.381)  -0.03
Br (0.968, 0.212, 0.656)  -0.03
Br (0.656, 0.968, 0.212)  -0.03
Br (0.839, 0.381, 0.045)  -0.03
Br (0.212, 0.656, 0.968)  -0.03

***

Entry 9:
Entry from the Alexandria database: UTlHgBr6 after structural relaxation (GGA-PBE).

Values from the calculation:
E (eV/atom): -3.696

Cell: 8.137 8.137 14.900 Å, 90.00 90.00 120.00°
Each line ends with the local moment (μB).
Fractional coordinates of all 18 atoms:
U (0.667, 0.333, 0.250)  1.25
U (0.333, 0.667, 0.750)  1.25
Tl (0.333, 0.667, 0.250)  0.00
Tl (0.667, 0.333, 0.750)  0.00
Hg (0.000, 0.000, 0.000)  -0.01
Hg (0.000, 0.000, 0.500)  -0.01
Br (0.660, 0.601, 0.145)  -0.04
Br (0.942, 0.340, 0.145)  -0.04
Br (0.340, 0.942, 0.645)  -0.04
Br (0.058, 0.660, 0.855)  -0.04
Br (0.399, 0.340, 0.355)  -0.04
Br (0.942, 0.601, 0.355)  -0.04
Br (0.601, 0.942, 0.855)  -0.04
Br (0.660, 0.058, 0.355)  -0.04
Br (0.058, 0.399, 0.645)  -0.04
Br (0.399, 0.058, 0.145)  -0.04
Br (0.601, 0.660, 0.645)  -0.04
Br (0.340, 0.399, 0.855)  -0.04

***

Entry 10:
Entry from the Alexandria database: U2TlHgBr8 after structural relaxation (GGA-PBE).

Values from the calculation:
Density of states at the Fermi level (states/eV per cell): 14.29
E (eV/atom): -4.233

Cell: 8.149 8.149 7.891 Å, 90.00 90.00 120.00°
Each line ends with the local moment (μB).
Fractional coordinates of all 12 atoms:
U (0.667, 0.333, 0.076)  2.51
U (0.333, 0.667, 0.924)  2.51
Tl (0.000, 0.000, 0.500)  0.00
Hg (0.000, 0.000, 0.000)  -0.01
Br (0.948, 0.598, 0.830)  -0.03
Br (0.402, 0.350, 0.830)  -0.03
Br (0.650, 0.052, 0.830)  -0.03
Br (0.052, 0.402, 0.170)  -0.03
Br (0.598, 0.650, 0.170)  -0.03
Br (0.350, 0.948, 0.170)  -0.03
Br (0.667, 0.333, 0.424)  -0.03
Br (0.333, 0.667, 0.576)  -0.03

***

Entry 11:
Entry from the Alexandria database: UTlHg2Br6 after structural relaxation (GGA-PBE).

Values from the calculation:
E (eV/atom): -3.316

Cell: 8.552 8.552 8.552 Å, 60.00 60.00 60.00°
Each line ends with the local moment (μB).
Fractional coordinates of all 10 atoms:
U (0.000, 0.000, 0.000)  1.24
Tl (0.500, 0.500, 0.500)  -0.01
Hg (0.750, 0.750, 0.750)  0.00
Hg (0.250, 0.250, 0.250)  0.00
Br (0.223, 0.777, 0.777)  -0.03
Br (0.223, 0.777, 0.223)  -0.03
Br (0.223, 0.223, 0.777)  -0.03
Br (0.777, 0.777, 0.223)  -0.03
Br (0.777, 0.223, 0.223)  -0.03
Br (0.777, 0.223, 0.777)  -0.03

***

Entry 12:
Entry from the Alexandria database: YTl2HgBr after structural relaxation (GGA-PBE).

Values from the calculation:
Density of states at the Fermi level (states/eV per cell): 6.21
E (eV/atom): -2.422

Cell: 6.181 5.860 6.181 Å, 90.00 90.00 90.00°
Each line ends with the local moment (μB).
Fractional coordinates of all 5 atoms:
Y (0.000, 0.000, 0.000)  0.44
Tl (0.000, 0.000, 0.500)  0.12
Tl (0.500, 0.000, 0.000)  0.10
Hg (0.000, 0.500, 0.000)  0.03
Br (0.500, 0.500, 0.500)  0.04

***

Which of these has the lowest E?
U2TlHgBr8

***

Which value of E does entry 12 give?
-2.422 eV/atom

***

Repeat the twelfth record exactly.
Entry from the Alexandria database: YTl2HgBr after structural relaxation (GGA-PBE).

Values from the calculation:
Density of states at the Fermi level (states/eV per cell): 6.21
E (eV/atom): -2.422

Cell: 6.181 5.860 6.181 Å, 90.00 90.00 90.00°
Each line ends with the local moment (μB).
Fractional coordinates of all 5 atoms:
Y (0.000, 0.000, 0.000)  0.44
Tl (0.000, 0.000, 0.500)  0.12
Tl (0.500, 0.000, 0.000)  0.10
Hg (0.000, 0.500, 0.000)  0.03
Br (0.500, 0.500, 0.500)  0.04

***

The highest E belongs to which entry?
number 6